(1)
# SiRuPb2Au, optimized geometry, DFT PBE
# Density of states at the Fermi level in states/eV/f.u.: 3.89
# Total DFT energy (no corrections) in eV per atom: -4.379
# Formation energy (no corrections) in meV per atom: 700
data_SiRuPb2Au
_cell_length_a 5.3396
_cell_length_b 5.3396
_cell_length_c 4.4564
_cell_angle_alpha 90.00
_cell_angle_beta 90.00
_cell_angle_gamma 90.00
_space_group_name_H-M_alt 'P 4/m m m'
_space_group_IT_number 123
_space_group_name_Hall '-P 4 2'
loop_
_atom_site_label
_atom_site_type_symbol
_atom_site_fract_x
_atom_site_fract_y
_atom_site_fract_z
_atom_site_occupancy
Si1 Si 0.0000 0.0000 0.0000 1
Ru1 Ru 0.0000 0.0000 0.5000 1
Pb1 Pb 0.0000 0.5000 0.0000 1
Au1 Au 0.5000 0.5000 0.5000 1

***

(2)
# Cs4PtI2, optimized geometry, DFT PBE
# Total DFT energy (no corrections) in eV per atom: -2.650
# Formation energy (no corrections) in meV per atom: -856
# Relative energy among the computed polymorphs in eV per atom: 0.023
data_Cs4PtI2
_cell_length_a 6.5180
_cell_length_b 6.5180
_cell_length_c 19.8872
_cell_angle_alpha 90.00
_cell_angle_beta 90.00
_cell_angle_gamma 90.00
_space_group_name_H-M_alt 'I 4/m m m'
_space_group_IT_number 139
_space_group_name_Hall '-I 4 2'
loop_
_atom_site_label
_atom_site_type_symbol
_atom_site_fract_x
_atom_site_fract_y
_atom_site_fract_z
_atom_site_occupancy
Cs1 Cs 0.0000 0.0000 0.1657 1
Cs2 Cs 0.0000 0.5000 0.0000 1
Pt1 Pt 0.0000 0.0000 0.0000 1
I1 I 0.0000 0.0000 0.3606 1